The following is a DFT calculation (PBE) of a geometry-optimized AlB3I structure.

abc: 4.4196 4.4196 4.4196
angles: 90.00 90.00 90.00
Fractional coordinates of all 5 atoms:
Al1 0.5000 0.5000 0.5000
B1 0.0000 0.0000 0.5000
I1 0.0000 0.0000 0.0000
B2 0.0000 0.5000 0.0000
B3 0.5000 0.0000 0.0000

## Properties
Offset from the most stable computed form in meV/atom: 798
Uncorrected formation energy in meV/atom: 2571

The following is a DFT calculation (PBE) of a geometry-optimized AlB2I structure.

abc: 4.3750 4.3750 4.3750
angles: 60.00 60.00 60.00
Fractional coordinates of all 4 atoms:
B1 0.7500 0.7500 0.7500
I1 0.5000 0.5000 0.5000
Al1 0.0000 0.0000 0.0000
B2 0.2500 0.2500 0.2500

## Properties
Offset from the most stable computed form in meV/atom: 852
Uncorrected formation energy in meV/atom: 1879

The following is a DFT calculation (PBE) of a geometry-optimized AlBI3 structure.

abc: 5.2335 5.2335 5.2335
angles: 90.00 90.00 90.00
Fractional coordinates of all 5 atoms:
I1 0.5000 0.0000 0.0000
I2 0.0000 0.0000 0.5000
B1 0.0000 0.0000 0.0000
I3 0.0000 0.5000 0.0000
Al1 0.5000 0.5000 0.5000

## Properties
Offset from the most stable computed form in meV/atom: 0
Uncorrected formation energy in meV/atom: 638

The following is a DFT calculation (PBE) of a geometry-optimized Al2BI structure.

abc: 5.8595 5.8595 6.6973
angles: 64.06 64.06 90.00
Fractional coordinates of all 8 atoms:
I1 0.0000 0.0000 0.0000
Al1 0.3750 0.5166 0.7500
B1 0.5000 0.5000 0.0000
I2 0.7500 0.2500 0.5000
Al2 0.8750 0.7334 0.7500
Al3 0.2666 0.6250 0.2500
B2 0.2500 0.7500 0.5000
Al4 0.4834 0.1250 0.2500

## Properties
Offset from the most stable computed form in meV/atom: 0
Uncorrected formation energy in meV/atom: 63

The following is a DFT calculation (PBE) of a geometry-optimized AlBI3 structure.

abc: 5.6117 5.6117 5.6117
angles: 90.00 90.00 90.00
Each line ends with the local moment (μB).
Fractional coordinates of all 5 atoms:
I1 0.0000 0.0000 0.5000  -0.01
Al1 0.0000 0.0000 0.0000  0.01
I2 0.0000 0.5000 0.0000  -0.01
I3 0.5000 0.0000 0.0000  -0.01
B1 0.5000 0.5000 0.5000  0.13

## Properties
Offset from the most stable computed form in meV/atom: 177
Uncorrected formation energy in meV/atom: 815

The following is a DFT calculation (PBE) of a geometry-optimized AlB2I structure.

abc: 5.2441 5.2441 6.4221
angles: 65.90 65.90 90.00
Fractional coordinates of all 8 atoms:
B1 0.1593 0.6250 0.2500
B2 0.5907 0.1250 0.2500
Al1 0.5000 0.5000 0.0000
B3 0.3750 0.4093 0.7500
B4 0.8750 0.8407 0.7500
I1 0.0000 0.0000 0.0000
I2 0.7500 0.2500 0.5000
Al2 0.2500 0.7500 0.5000

## Properties
Offset from the most stable computed form in meV/atom: 0
Uncorrected formation energy in meV/atom: 1027

The following is a DFT calculation (PBE) of a geometry-optimized AlBIN2 structure.

abc: 3.5255 3.5255 5.9146
angles: 90.00 90.00 90.00
Fractional coordinates of all 5 atoms:
N1 0.5000 0.0000 0.0000
I1 0.0000 0.0000 0.5000
N2 0.0000 0.5000 0.0000
Al1 0.5000 0.5000 0.5000
B1 0.0000 0.0000 0.0000

## Properties
Offset from the most stable computed form in meV/atom: 292
Uncorrected formation energy in meV/atom: 1664

The following is a DFT calculation (PBE) of a geometry-optimized AlBI2N structure.

abc: 5.7594 5.7594 3.5379
angles: 90.00 90.00 90.00
Fractional coordinates of all 5 atoms:
N1 0.0000 0.0000 0.5000
B1 0.5000 0.5000 0.5000
Al1 0.0000 0.0000 0.0000
I1 0.5000 0.0000 0.0000
I2 0.0000 0.5000 0.0000

## Properties
Offset from the most stable computed form in meV/atom: 856
Uncorrected formation energy in meV/atom: 1004

The following is a DFT calculation (PBE) of a geometry-optimized AlBIN2 structure.

abc: 3.6330 3.6330 6.7095
angles: 90.00 90.00 90.00
Fractional coordinates of all 5 atoms:
I1 0.0000 0.0000 0.5000
N1 0.5000 0.0000 0.0000
B1 0.5000 0.5000 0.5000
N2 0.0000 0.5000 0.0000
Al1 0.0000 0.0000 0.0000

## Properties
Offset from the most stable computed form in meV/atom: 0
Uncorrected formation energy in meV/atom: 1373

The following is a DFT calculation (PBE) of a geometry-optimized AlBI2N structure.

abc: 6.7104 6.7104 2.8061
angles: 90.00 90.00 90.00
Fractional coordinates of all 5 atoms:
Al1 0.5000 0.5000 0.5000
I1 0.0000 0.5000 0.0000
I2 0.5000 0.0000 0.0000
B1 0.0000 0.0000 0.0000
N1 0.0000 0.0000 0.5000

## Properties
Offset from the most stable computed form in meV/atom: 0
Uncorrected formation energy in meV/atom: 148

The following is a DFT calculation (PBE) of a geometry-optimized AlBI2N structure.

abc: 5.7999 3.5575 5.7999
angles: 90.00 90.00 90.00
Fractional coordinates of all 5 atoms:
Al1 0.0000 0.5000 0.0000
N1 0.0000 0.0000 0.0000
B1 0.5000 0.5000 0.5000
I1 0.5000 0.0000 0.0000
I2 0.0000 0.0000 0.5000

## Properties
Offset from the most stable computed form in meV/atom: 1051
Uncorrected formation energy in meV/atom: 1199

The following is a DFT calculation (PBE) of a geometry-optimized AlBIO2 structure.

abc: 3.7171 3.7171 4.6757
angles: 90.00 90.00 90.00
Fractional coordinates of all 5 atoms:
B1 0.0000 0.0000 0.0000
O1 0.5000 0.0000 0.0000
Al1 0.5000 0.5000 0.5000
O2 0.0000 0.5000 0.0000
I1 0.0000 0.0000 0.5000

## Properties
Offset from the most stable computed form in meV/atom: 689
Uncorrected formation energy in meV/atom: 349